Computed, not measured: Pm3Ag5Te12 after structural relaxation at the GGA-PBE level of DFT.

Properties
- E (eV for the cell shown) = -297.34
- space group = No. 230
- formation energy without anion corrections (eV/f.u.) = -8.13

a = 15.050 Å, b = 15.050 Å, c = 15.050 Å
α = 109.47°, β = 109.47°, γ = 109.47°
Sites, in units of the cell vectors:
Te (0.869, 0.584, 0.914)
Te (0.785, 0.330, 0.916)
Te (0.215, 0.545, 0.631)
Te (0.131, 0.715, 0.545)
Te (0.285, 0.416, 0.830)
Te (0.084, 0.914, 0.369)
Te (0.914, 0.084, 0.869)
Te (0.670, 0.455, 0.586)
Te (0.584, 0.869, 0.414)
Te (0.545, 0.215, 0.131)
Te (0.916, 0.086, 0.631)
Te (0.869, 0.285, 0.455)
Te (0.916, 0.830, 0.785)
Te (0.545, 0.330, 0.914)
Te (0.955, 0.586, 0.170)
Te (0.414, 0.045, 0.330)
Te (0.330, 0.545, 0.414)
Te (0.914, 0.830, 0.545)
Te (0.830, 0.914, 0.045)
Te (0.715, 0.131, 0.045)
Te (0.785, 0.455, 0.369)
Te (0.416, 0.285, 0.330)
Te (0.170, 0.084, 0.715)
Te (0.086, 0.170, 0.455)
Te (0.045, 0.414, 0.830)
Te (0.586, 0.631, 0.416)
Te (0.586, 0.955, 0.670)
Te (0.670, 0.215, 0.584)
Te (0.414, 0.369, 0.584)
Te (0.715, 0.584, 0.170)
Te (0.631, 0.586, 0.916)
Te (0.830, 0.916, 0.285)
Te (0.215, 0.670, 0.084)
Te (0.131, 0.416, 0.086)
Te (0.631, 0.045, 0.215)
Te (0.369, 0.414, 0.084)
Te (0.584, 0.715, 0.670)
Te (0.084, 0.170, 0.215)
Te (0.416, 0.131, 0.586)
Te (0.170, 0.086, 0.955)
Te (0.285, 0.869, 0.955)
Te (0.955, 0.369, 0.285)
Te (0.086, 0.916, 0.131)
Te (0.045, 0.631, 0.715)
Te (0.330, 0.785, 0.416)
Te (0.455, 0.785, 0.869)
Te (0.369, 0.955, 0.785)
Te (0.455, 0.670, 0.086)
Ag (0.625, 0.750, 0.875)
Ag (0.125, 0.375, 0.250)
Ag (0.375, 0.125, 0.750)
Ag (0.750, 0.125, 0.875)
Ag (0.125, 0.750, 0.375)
Ag (0.875, 0.625, 0.750)
Ag (0.000, 0.000, 0.500)
Ag (0.500, 0.000, 0.000)
Ag (0.625, 0.875, 0.250)
Ag (0.500, 0.500, 0.500)
Ag (0.875, 0.250, 0.625)
Ag (0.750, 0.625, 0.375)
Ag (0.500, 0.000, 0.500)
Ag (0.250, 0.875, 0.125)
Ag (0.000, 0.000, 0.000)
Ag (0.375, 0.250, 0.125)
Ag (0.250, 0.375, 0.625)
Ag (0.500, 0.500, 0.000)
Ag (0.000, 0.500, 0.000)
Ag (0.000, 0.500, 0.500)
Pm (0.625, 0.250, 0.375)
Pm (0.125, 0.250, 0.875)
Pm (0.250, 0.625, 0.875)
Pm (0.375, 0.625, 0.250)
Pm (0.625, 0.375, 0.750)
Pm (0.375, 0.750, 0.625)
Pm (0.875, 0.125, 0.250)
Pm (0.125, 0.875, 0.750)
Pm (0.875, 0.750, 0.125)
Pm (0.750, 0.875, 0.625)
Pm (0.250, 0.125, 0.375)
Pm (0.750, 0.375, 0.125)